DFT (PBE) results for an optimized crystal structure of TiFeCo2H.

Geometry as CIF:
```
data_TiFeCo2H
_cell_length_a 3.658
_cell_length_b 3.658
_cell_length_c 3.659
_cell_angle_alpha 90.00
_cell_angle_beta 90.00
_cell_angle_gamma 90.00
_symmetry_space_group_name_H-M 'P 1'
_symmetry_Int_Tables_number 1
_symmetry_space_group_name_Hall 'P 1'
loop_
_atom_site_label
_atom_site_fract_x
_atom_site_fract_y
_atom_site_fract_z
Ti1 0.000 0.000 0.000
Fe1 0.500 0.500 0.000
Co1 0.000 0.500 0.500
Co2 0.500 0.000 0.500
H1 0.500 0.500 0.500
```

Results
The calculation puts the total moment at 2.7 μB per formula unit. The value obtained for the density of states at the Fermi level is 4.86 states/eV/cell. The energy above the lowest structure with this stoichiometry comes out at 0.0000 eV per atom.

=====

DFT (PBE) results for an optimized crystal structure of ScBe3Re.

Geometry as CIF:
```
data_ScBe3Re
_cell_length_a 4.121
_cell_length_b 4.121
_cell_length_c 4.121
_cell_angle_alpha 90.00
_cell_angle_beta 90.00
_cell_angle_gamma 90.00
_symmetry_space_group_name_H-M 'P 1'
_symmetry_Int_Tables_number 1
_symmetry_space_group_name_Hall 'P 1'
loop_
_atom_site_label
_atom_site_fract_x
_atom_site_fract_y
_atom_site_fract_z
Sc1 0.000 0.000 0.000
Be1 0.000 0.000 0.500
Be2 0.000 0.500 0.000
Be3 0.500 0.000 0.000
Re1 0.500 0.500 0.500
```

Results
The calculation puts the total moment at 0.0 μB per formula unit. The value obtained for the density of states at the Fermi level is 24.48 states/eV/cell. The energy above the lowest structure with this stoichiometry comes out at 1.8348 eV per atom.

=====

DFT (PBE) results for an optimized crystal structure of Ho2GaPd5.

Geometry as CIF:
```
data_Ho2GaPd5
_cell_length_a 5.867
_cell_length_b 5.867
_cell_length_c 5.867
_cell_angle_alpha 119.73
_cell_angle_beta 119.73
_cell_angle_gamma 90.47
_symmetry_space_group_name_H-M 'P 1'
_symmetry_Int_Tables_number 1
_symmetry_space_group_name_Hall 'P 1'
loop_
_atom_site_label
_atom_site_fract_x
_atom_site_fract_y
_atom_site_fract_z
Ho1 0.000 0.500 0.500
Ho2 0.500 0.000 0.500
Ga1 0.422 0.422 0.000
Pd1 0.503 0.503 0.516
Pd2 0.503 0.986 0.000
Pd3 0.986 0.503 0.000
Pd4 0.986 0.986 0.484
Pd5 0.998 0.998 0.000
```

Results
The calculation puts the total moment at 0.0 μB per formula unit. The value obtained for the density of states at the Fermi level is 2.65 states/eV/cell.

=====

DFT (PBE) results for an optimized crystal structure of La2GaP3Pd4.

Geometry as CIF:
```
data_La2GaP3Pd4
_cell_length_a 4.239
_cell_length_b 4.239
_cell_length_c 10.255
_cell_angle_alpha 90.00
_cell_angle_beta 90.00
_cell_angle_gamma 90.00
_symmetry_space_group_name_H-M 'P 1'
_symmetry_Int_Tables_number 1
_symmetry_space_group_name_Hall 'P 1'
loop_
_atom_site_label
_atom_site_fract_x
_atom_site_fract_y
_atom_site_fract_z
La1 0.000 0.500 0.243
La2 0.500 0.000 0.757
Ga1 0.000 0.000 0.500
P1 0.000 0.500 0.866
P2 0.500 0.000 0.134
P3 0.500 0.500 0.500
Pd1 0.000 0.000 0.000
Pd2 0.000 0.500 0.632
Pd3 0.500 0.000 0.368
Pd4 0.500 0.500 0.000
```

Results
The calculation puts the total moment at 0.0 μB per formula unit. The value obtained for the density of states at the Fermi level is 3.38 states/eV/cell.

=====

So what do the calculations give for total energy? Going down the list: -0.5147; -0.2773; -0.4116; -0.4381 Ry/atom.